Crystalline Ga2FeGeO6 at its relaxed geometry, computed with PBE+U.

The structure belongs to space group C2/c (No. 15); the cell edges are 9.495, 8.976 and 5.253 Å and the angles 90.00°, 97.67° and 90.00°. Symmetry generates all atoms from Ga at (0.186, 0.098, 0.291), Fe at (0.000, 0.413, 0.250), Ge at (0.000, 0.233, 0.750), O at (0.105, 0.245, 0.077), O at (0.116, 0.395, 0.635) and O at (0.129, 0.085, 0.626).

Its electronic total energy is -6.29 eV per atom. Its total magnetization is 4.0 μB per formula unit.